1.
## CePuAgPb (PBE)

Data for crystalline CePuAgPb at its relaxed geometry.

The structure in POSCAR format:
```
CePuAgPb
1.0
4.570 0.000 0.000
0.000 4.659 0.000
0.000 0.000 4.815
Ce Pu Ag Pb
1 1 1 1
Direct
0.000 0.000 0.000 Ce
0.500 0.500 0.000 Pu
0.500 0.000 0.500 Ag
0.000 0.500 0.500 Pb
```

Values from the calculation:
The value obtained for the spin magnetization is 7.254 μB per cell. Its energy above the most stable polymorph in this dataset is 0 meV/atom. The density of states at the Fermi level is 10.93 states/eV/f.u. The value obtained for the formation energy is -0.697 eV/f.u. As for the raw total energy: -27.5 eV/cell. The symmetry is Pmmm (47).

2.
## CeSmAgPb (PBE)

Data for crystalline CeSmAgPb at its relaxed geometry.

The structure in POSCAR format:
```
CeSmAgPb
1.0
7.667 0.000 0.000
0.000 7.667 0.000
0.000 0.000 7.667
Ce Sm Ag Pb
4 4 4 4
Direct
0.000 0.000 0.000 Ce
0.000 0.500 0.500 Ce
0.500 0.000 0.500 Ce
0.500 0.500 0.000 Ce
0.000 0.000 0.500 Sm
0.000 0.500 0.000 Sm
0.500 0.000 0.000 Sm
0.500 0.500 0.500 Sm
0.250 0.250 0.750 Ag
0.250 0.750 0.250 Ag
0.750 0.250 0.250 Ag
0.750 0.750 0.750 Ag
0.250 0.250 0.250 Pb
0.250 0.750 0.750 Pb
0.750 0.250 0.750 Pb
0.750 0.750 0.250 Pb
```

Values from the calculation:
The value obtained for the spin magnetization is 8.379 μB per cell. The density of states at the Fermi level is 9.52 states/eV/f.u. The value obtained for the formation energy is -1.277 eV/f.u. As for the raw total energy: -74.0 eV/cell. The symmetry is F-43m (216).

3.
## SrCeAgPb (PBE)

Data for crystalline SrCeAgPb at its relaxed geometry.

The structure in POSCAR format:
```
SrCeAgPb
1.0
7.881 0.000 0.000
0.000 7.881 0.000
0.000 0.000 7.881
Sr Ce Ag Pb
4 4 4 4
Direct
0.000 0.000 0.000 Sr
0.000 0.500 0.500 Sr
0.500 0.000 0.500 Sr
0.500 0.500 0.000 Sr
0.000 0.000 0.500 Ce
0.000 0.500 0.000 Ce
0.500 0.000 0.000 Ce
0.500 0.500 0.500 Ce
0.250 0.250 0.250 Ag
0.250 0.750 0.750 Ag
0.750 0.250 0.750 Ag
0.750 0.750 0.250 Ag
0.250 0.250 0.750 Pb
0.250 0.750 0.250 Pb
0.750 0.250 0.250 Pb
0.750 0.750 0.750 Pb
```

Values from the calculation:
The value obtained for the spin magnetization is 4.774 μB per cell. The density of states at the Fermi level is 8.88 states/eV/f.u. The value obtained for the formation energy is -1.265 eV/f.u. As for the raw total energy: -61.8 eV/cell. The symmetry is F-43m (216).

4.
## TbCeAgPb (PBE)

Data for crystalline TbCeAgPb at its relaxed geometry.

The structure in POSCAR format:
```
TbCeAgPb
1.0
7.607 0.000 0.000
0.000 7.607 0.000
0.000 0.000 7.607
Tb Ce Ag Pb
4 4 4 4
Direct
0.000 0.000 0.000 Tb
0.000 0.500 0.500 Tb
0.500 0.000 0.500 Tb
0.500 0.500 0.000 Tb
0.000 0.000 0.500 Ce
0.000 0.500 0.000 Ce
0.500 0.000 0.000 Ce
0.500 0.500 0.500 Ce
0.250 0.250 0.250 Ag
0.250 0.750 0.750 Ag
0.750 0.250 0.750 Ag
0.750 0.750 0.250 Ag
0.250 0.250 0.750 Pb
0.250 0.750 0.250 Pb
0.750 0.250 0.250 Pb
0.750 0.750 0.750 Pb
```

Values from the calculation:
The value obtained for the spin magnetization is 8.163 μB per cell. The density of states at the Fermi level is 9.52 states/eV/f.u. The value obtained for the formation energy is -1.249 eV/f.u. As for the raw total energy: -73.5 eV/cell. The symmetry is F-43m (216).

5.
## CeThAgPb (PBE)

Data for crystalline CeThAgPb at its relaxed geometry.

The structure in POSCAR format:
```
CeThAgPb
1.0
7.682 0.000 0.000
0.000 7.682 0.000
0.000 0.000 7.682
Ce Th Ag Pb
4 4 4 4
Direct
0.000 0.000 0.000 Ce
0.000 0.500 0.500 Ce
0.500 0.000 0.500 Ce
0.500 0.500 0.000 Ce
0.000 0.000 0.500 Th
0.000 0.500 0.000 Th
0.500 0.000 0.000 Th
0.500 0.500 0.500 Th
0.250 0.250 0.750 Ag
0.250 0.750 0.250 Ag
0.750 0.250 0.250 Ag
0.750 0.750 0.750 Ag
0.250 0.250 0.250 Pb
0.250 0.750 0.750 Pb
0.750 0.250 0.750 Pb
0.750 0.750 0.250 Pb
```

Values from the calculation:
The value obtained for the spin magnetization is 5.149 μB per cell. The density of states at the Fermi level is 10.82 states/eV/f.u. The value obtained for the formation energy is -0.604 eV/f.u. As for the raw total energy: -82.1 eV/cell. The symmetry is F-43m (216).

6.
## CeTlAgPb (PBE)

Data for crystalline CeTlAgPb at its relaxed geometry.

The structure in POSCAR format:
```
CeTlAgPb
1.0
7.546 0.000 0.000
0.000 7.546 0.000
0.000 0.000 7.546
Ce Tl Ag Pb
4 4 4 4
Direct
0.000 0.000 0.000 Ce
0.000 0.500 0.500 Ce
0.500 0.000 0.500 Ce
0.500 0.500 0.000 Ce
0.250 0.250 0.750 Tl
0.250 0.750 0.250 Tl
0.750 0.250 0.250 Tl
0.750 0.750 0.750 Tl
0.250 0.250 0.250 Ag
0.250 0.750 0.750 Ag
0.750 0.250 0.750 Ag
0.750 0.750 0.250 Ag
0.000 0.000 0.500 Pb
0.000 0.500 0.000 Pb
0.500 0.000 0.000 Pb
0.500 0.500 0.500 Pb
```

Values from the calculation:
The value obtained for the spin magnetization is 4.105 μB per cell. The density of states at the Fermi level is 8.00 states/eV/f.u. The value obtained for the formation energy is -0.462 eV/f.u. As for the raw total energy: -61.3 eV/cell. The symmetry is F-43m (216).

7.
## CeTmAgPb (PBE)

Data for crystalline CeTmAgPb at its relaxed geometry.

The structure in POSCAR format:
```
CeTmAgPb
1.0
7.549 0.000 0.000
0.000 7.549 0.000
0.000 0.000 7.549
Ce Tm Ag Pb
4 4 4 4
Direct
0.000 0.000 0.000 Ce
0.000 0.500 0.500 Ce
0.500 0.000 0.500 Ce
0.500 0.500 0.000 Ce
0.000 0.000 0.500 Tm
0.000 0.500 0.000 Tm
0.500 0.000 0.000 Tm
0.500 0.500 0.500 Tm
0.250 0.250 0.250 Ag
0.250 0.750 0.750 Ag
0.750 0.250 0.750 Ag
0.750 0.750 0.250 Ag
0.250 0.250 0.750 Pb
0.250 0.750 0.250 Pb
0.750 0.250 0.250 Pb
0.750 0.750 0.750 Pb
```

Values from the calculation:
The value obtained for the spin magnetization is 7.608 μB per cell. The density of states at the Fermi level is 10.08 states/eV/f.u. The value obtained for the formation energy is -1.160 eV/f.u. As for the raw total energy: -72.5 eV/cell. The symmetry is F-43m (216).

8.
## CeZnAgPb (PBE)

Data for crystalline CeZnAgPb at its relaxed geometry.

The structure in POSCAR format:
```
CeZnAgPb
1.0
7.210 0.000 0.000
0.000 7.210 0.000
0.000 0.000 7.210
Ce Zn Ag Pb
4 4 4 4
Direct
0.000 0.000 0.000 Ce
0.000 0.500 0.500 Ce
0.500 0.000 0.500 Ce
0.500 0.500 0.000 Ce
0.250 0.250 0.250 Zn
0.250 0.750 0.750 Zn
0.750 0.250 0.750 Zn
0.750 0.750 0.250 Zn
0.250 0.250 0.750 Ag
0.250 0.750 0.250 Ag
0.750 0.250 0.250 Ag
0.750 0.750 0.750 Ag
0.000 0.000 0.500 Pb
0.000 0.500 0.000 Pb
0.500 0.000 0.000 Pb
0.500 0.500 0.500 Pb
```

Values from the calculation:
The value obtained for the spin magnetization is 3.776 μB per cell. The density of states at the Fermi level is 7.15 states/eV/f.u. The value obtained for the formation energy is -0.775 eV/f.u. As for the raw total energy: -58.2 eV/cell. The symmetry is F-43m (216).

9.
## CeAgPd4 (PBE)

Data for crystalline CeAgPd4 at its relaxed geometry.

The structure in POSCAR format:
```
CeAgPd4
1.0
0.000 3.790 3.790
3.790 0.000 3.790
3.790 3.790 0.000
Ce Ag Pd
1 1 4
Direct
0.000 0.000 0.000 Ce
0.750 0.750 0.750 Ag
0.375 0.375 0.375 Pd
0.375 0.375 0.874 Pd
0.375 0.874 0.375 Pd
0.874 0.375 0.375 Pd
```

Values from the calculation:
The value obtained for the spin magnetization is 0.002 μB per cell. The density of states at the Fermi level is 4.94 states/eV/f.u. The value obtained for the formation energy is -3.139 eV/f.u. As for the raw total energy: -32.7 eV/cell. The symmetry is F-43m (216).

10.
## CeAg2Pd (PBE)

Data for crystalline CeAg2Pd at its relaxed geometry.

The structure in POSCAR format:
```
CeAg2Pd
1.0
4.348 0.000 0.000
0.000 9.868 0.000
0.000 0.000 7.927
Ce Ag Pd
4 8 4
Direct
0.000 0.069 0.250 Ce
0.000 0.931 0.750 Ce
0.500 0.431 0.750 Ce
0.500 0.569 0.250 Ce
0.000 0.363 0.054 Ag
0.000 0.363 0.446 Ag
0.000 0.637 0.554 Ag
0.000 0.637 0.946 Ag
0.500 0.137 0.554 Ag
0.500 0.137 0.946 Ag
0.500 0.863 0.054 Ag
0.500 0.863 0.446 Ag
0.000 0.220 0.750 Pd
0.000 0.780 0.250 Pd
0.500 0.280 0.250 Pd
0.500 0.720 0.750 Pd
```

Values from the calculation:
The value obtained for the spin magnetization is 3.489 μB per cell. Its energy above the most stable polymorph in this dataset is 0 meV/atom. The density of states at the Fermi level is 7.58 states/eV/f.u. The value obtained for the formation energy is -1.327 eV/f.u. As for the raw total energy: -72.6 eV/cell. The symmetry is Cmcm (63).

11.
## CeAg2Pd5 (PBE)

Data for crystalline CeAg2Pd5 at its relaxed geometry.

The structure in POSCAR format:
```
CeAg2Pd5
1.0
4.191 0.000 0.000
0.000 4.191 0.000
0.000 0.000 15.714
Ce Ag Pd
2 4 10
Direct
0.000 0.000 0.000 Ce
0.500 0.500 0.500 Ce
0.000 0.000 0.251 Ag
0.000 0.000 0.749 Ag
0.500 0.500 0.249 Ag
0.500 0.500 0.751 Ag
0.000 0.000 0.500 Pd
0.000 0.500 0.125 Pd
0.000 0.500 0.375 Pd
0.000 0.500 0.625 Pd
0.000 0.500 0.875 Pd
0.500 0.000 0.125 Pd
0.500 0.000 0.375 Pd
0.500 0.000 0.625 Pd
0.500 0.000 0.875 Pd
0.500 0.500 0.000 Pd
```

Values from the calculation:
The value obtained for the spin magnetization is 0.414 μB per cell. The density of states at the Fermi level is 3.31 states/eV/f.u. The value obtained for the formation energy is -3.639 eV/f.u. As for the raw total energy: -82.5 eV/cell. The symmetry is I4/mmm (139).

12.
## CeAg2Pd (PBE)

Data for crystalline CeAg2Pd at its relaxed geometry.

The structure in POSCAR format:
```
CeAg2Pd
1.0
6.957 0.000 0.000
0.000 6.957 0.000
0.000 0.000 6.957
Ce Ag Pd
4 8 4
Direct
0.000 0.000 0.000 Ce
0.000 0.500 0.500 Ce
0.500 0.000 0.500 Ce
0.500 0.500 0.000 Ce
0.250 0.250 0.250 Ag
0.250 0.250 0.750 Ag
0.250 0.750 0.250 Ag
0.250 0.750 0.750 Ag
0.750 0.250 0.250 Ag
0.750 0.250 0.750 Ag
0.750 0.750 0.250 Ag
0.750 0.750 0.750 Ag
0.000 0.000 0.500 Pd
0.000 0.500 0.000 Pd
0.500 0.000 0.000 Pd
0.500 0.500 0.500 Pd
```

Values from the calculation:
The value obtained for the spin magnetization is 3.138 μB per cell. Its energy above the most stable polymorph in this dataset is 182 meV/atom. The density of states at the Fermi level is 6.68 states/eV/f.u. The value obtained for the formation energy is -0.601 eV/f.u. As for the raw total energy: -69.7 eV/cell. The symmetry is Fm-3m (225).

13.
## Ce2Ag3Pd (PBE)

Data for crystalline Ce2Ag3Pd at its relaxed geometry.

The structure in POSCAR format:
```
Ce2Ag3Pd
1.0
3.314 0.000 0.000
0.000 4.847 0.000
0.000 0.000 8.390
Ce Ag Pd
2 3 1
Direct
0.000 0.000 0.000 Ce
0.000 0.500 0.465 Ce
0.500 0.000 0.648 Ag
0.500 0.500 0.145 Ag
0.500 0.500 0.812 Ag
0.500 0.000 0.315 Pd
```

Values from the calculation:
The value obtained for the spin magnetization is 2.435 μB per cell. The density of states at the Fermi level is 13.03 states/eV/f.u. The value obtained for the formation energy is -1.692 eV/f.u. As for the raw total energy: -27.3 eV/cell. The symmetry is Pmm2 (25).